[1]
# PBE PmY6In3, relaxed
# Mass density: 5.322 g/cm3
# Total moment: 0.00 μB/cell
# Calculated formation energy: -0.16 eV/atom
data_PmY6In3
_chemical_formula_sum 'Pm4 Y24 In12'
_symmetry_space_group_name_H-M 'C m c 21'
_symmetry_Int_Tables_number 36
_cell_length_a 11.1702
_cell_length_b 14.5485
_cell_length_c 7.8562
_cell_angle_alpha 90.00
_cell_angle_beta 90.00
_cell_angle_gamma 90.00
loop_
_symmetry_equiv_pos_as_xyz
'x,y,z'
'-x,-y,z+1/2'
'-x,y,z'
'x,-y,z+1/2'
'x+1/2,y+1/2,z'
'-x+1/2,-y+1/2,z+1/2'
'-x+1/2,y+1/2,z'
'x+1/2,-y+1/2,z+1/2'
loop_
_atom_site_label
_atom_site_type_symbol
_atom_site_fract_x
_atom_site_fract_y
_atom_site_fract_z
Pm1 Pm 0.0000 0.2174 0.0000
Y1 Y 0.0000 0.0328 0.3511
Y2 Y 0.0000 0.2684 0.5032
Y3 Y 0.1899 0.4661 0.4815
Y4 Y 0.2478 0.1885 0.2998
In1 In 0.0000 0.4185 0.7785
In2 In 0.1657 0.1178 0.6707



[2]
# PBE ZrCo2GeH, relaxed
# Distance to the lowest polymorph of the same formula: 2.223 eV per atom
# Mass density: 4.028 g/cm3
# Total moment: 3.09 μB/cell
data_ZrCo2GeH
_chemical_formula_sum 'Zr1 Co2 Ge1 H1'
_symmetry_space_group_name_H-M 'P 4/m m m'
_symmetry_Int_Tables_number 123
_symmetry_space_group_name_Hall '-P 4 2'
_cell_length_a 4.6576
_cell_length_b 4.6576
_cell_length_c 5.3726
_cell_angle_alpha 90.00
_cell_angle_beta 90.00
_cell_angle_gamma 90.00
loop_
_atom_site_label
_atom_site_type_symbol
_atom_site_fract_x
_atom_site_fract_y
_atom_site_fract_z
Zr1 Zr 0.0000 0.0000 0.0000
Co1 Co 0.0000 0.5000 0.0000
Ge1 Ge 0.0000 0.0000 0.5000
H1 H 0.5000 0.5000 0.5000



[3]
# PBE Y6As3Se2S, relaxed
# Mass density: 5.444 g/cm3
# Formation energy (no corrections): -1748.9 meV/atom
# Total moment: 0.00 μB/cell
data_Y6As3Se2S
_chemical_formula_sum 'Y12 As6 Se4 S2'
_symmetry_space_group_name_H-M 'C 1 2/m 1'
_symmetry_Int_Tables_number 12
_cell_length_a 17.8172
_cell_length_b 4.0854
_cell_length_c 8.1650
_cell_angle_alpha 90.00
_cell_angle_beta 103.29
_cell_angle_gamma 90.00
loop_
_symmetry_equiv_pos_as_xyz
'x,y,z'
'-x,-y,-z'
'-x,y,-z'
'x,-y,z'
'x+1/2,y+1/2,z'
'-x+1/2,-y+1/2,-z'
'-x+1/2,y+1/2,-z'
'x+1/2,-y+1/2,z'
loop_
_atom_site_label
_atom_site_type_symbol
_atom_site_fract_x
_atom_site_fract_y
_atom_site_fract_z
Y1 Y 0.0030 0.0000 0.2523
Y2 Y 0.1635 0.5000 0.0905
Y3 Y 0.1653 0.5000 0.5752
As1 As 0.0000 0.5000 0.0000
As2 As 0.1680 0.0000 0.3345
Se1 Se 0.1664 0.0000 0.8337
S1 S 0.0000 0.5000 0.5000



[4]
# PBE CdReHg2, relaxed
# Mass density: 14.991 g/cm3
# Total moment: 0.00 μB/cell
# Calculated formation energy: 0.65 eV/atom
data_CdReHg2
_chemical_formula_sum 'Cd2 Re2 Hg4'
_symmetry_space_group_name_H-M 'C 1 m 1'
_symmetry_Int_Tables_number 8
_cell_length_a 11.2580
_cell_length_b 2.9286
_cell_length_c 5.2764
_cell_angle_alpha 90.00
_cell_angle_beta 116.98
_cell_angle_gamma 90.00
loop_
_symmetry_equiv_pos_as_xyz
'x,y,z'
'x,-y,z'
'x+1/2,y+1/2,z'
'x+1/2,-y+1/2,z'
loop_
_atom_site_label
_atom_site_type_symbol
_atom_site_fract_x
_atom_site_fract_y
_atom_site_fract_z
Cd1 Cd 0.0000 0.0000 0.0000
Re1 Re 0.2336 0.5000 0.4214
Hg1 Hg 0.2369 0.0000 0.8992
Hg2 Hg 0.4719 0.0000 0.4712



[5]
# PBE TcOsPt2I, relaxed
# Mass density: 10.791 g/cm3
# Formation energy (no corrections): 1729.1 meV/atom
# Total moment: 4.36 μB/cell
data_TcOsPt2I
_chemical_formula_sum 'Tc1 Os1 Pt2 I1'
_symmetry_space_group_name_H-M 'P 4/m m m'
_symmetry_Int_Tables_number 123
_symmetry_space_group_name_Hall '-P 4 2'
_cell_length_a 4.8491
_cell_length_b 4.8491
_cell_length_c 5.2699
_cell_angle_alpha 90.00
_cell_angle_beta 90.00
_cell_angle_gamma 90.00
loop_
_atom_site_label
_atom_site_type_symbol
_atom_site_fract_x
_atom_site_fract_y
_atom_site_fract_z
Tc1 Tc 0.0000 0.0000 0.0000
Os1 Os 0.5000 0.5000 0.5000
Pt1 Pt 0.0000 0.5000 0.5000
I1 I 0.5000 0.5000 0.0000



[6]
# PBE InAg3, relaxed
# Mass density: 9.440 g/cm3
# Total moment: 0.00 μB/cell
# Calculated formation energy: 0.01 eV/atom
data_InAg3
_chemical_formula_sum 'In1 Ag3'
_symmetry_space_group_name_H-M 'P 4/m m m'
_symmetry_Int_Tables_number 123
_symmetry_space_group_name_Hall '-P 4 2'
_cell_length_a 3.3514
_cell_length_b 3.3514
_cell_length_c 6.8665
_cell_angle_alpha 90.00
_cell_angle_beta 90.00
_cell_angle_gamma 90.00
loop_
_atom_site_label
_atom_site_type_symbol
_atom_site_fract_x
_atom_site_fract_y
_atom_site_fract_z
In1 In 0.0000 0.0000 0.0000
Ag1 Ag 0.0000 0.0000 0.5000
Ag2 Ag 0.5000 0.5000 0.2627